Material: EuDyGaIr
Method: DFT, GGA-PBE
State: optimized geometry

Geometry as CIF:
```
data_EuDyGaIr
_chemical_formula_sum 'Eu4 Dy4 Ga4 Ir4'
_cell_length_a 7.0858
_cell_length_b 7.0858
_cell_length_c 7.0858
_cell_angle_alpha 90.00
_cell_angle_beta 90.00
_cell_angle_gamma 90.00
_space_group_name_H-M_alt 'F -4 3 m'
_space_group_IT_number 216
_space_group_name_Hall 'F -4 2 3'
loop_
_atom_site_label
_atom_site_type_symbol
_atom_site_fract_x
_atom_site_fract_y
_atom_site_fract_z
_atom_site_occupancy
Eu1 Eu 0.0000 0.0000 0.0000 1
Dy1 Dy 0.0000 0.0000 0.5000 1
Ga1 Ga 0.2500 0.2500 0.7500 1
Ir1 Ir 0.2500 0.2500 0.2500 1
```

Values from the calculation:
* total magnetic moment: 6.81 μB/f.u.
* final energy: -7.1860 eV/atom
* DFT formation energy: -191 kJ/mol of formula units